Record 1
{
  "formula": "Ce2ScBi",
  "functional": "PBE",
  "state": "relaxed",
  "lattice": [[-0.078, -1.703, 4.008], [1.090, -3.848, -1.614], [10.954, 3.378, -0.654]],
  "species": ["Ce", "Ce", "Ce", "Ce", "Sc", "Sc", "Bi", "Bi"],
  "frac_coords": [[0.592, 0.250, 0.114], [0.408, 0.750, 0.886], [0.009, 0.750, 0.123], [0.991, 0.250, 0.877], [0.693, 0.750, 0.383], [0.307, 0.250, 0.617], [0.181, 0.250, 0.350], [0.819, 0.750, 0.650]],
  "m_tot_mub_per_cell": 0.0,
  "e_form_ev_per_atom": -0.351,
  "sg": "P2_1/m (11)",
  "e_above_lowest_polymorph_ev_per_atom": 0.0274,
  "total_energy_ev_per_atom": -5.871
}



Record 2
{
  "formula": "Ce2ScBi",
  "functional": "PBE",
  "state": "relaxed",
  "lattice": [[-1.929, -1.269, -2.469], [-2.882, -1.597, 0.758], [-7.561, 9.462, -1.270]],
  "species": ["Sc", "Bi", "Ce", "Ce"],
  "frac_coords": [[0.500, 0.500, 0.500], [0.000, 0.000, 0.000], [0.091, 0.091, 0.728], [0.909, 0.909, 0.272]],
  "m_tot_mub_per_cell": 2.1,
  "e_form_ev_per_atom": 0.095,
  "sg": "R-3m (166)",
  "e_above_lowest_polymorph_ev_per_atom": 0.4732,
  "total_energy_ev_per_atom": -5.425
}



Record 3
{
  "formula": "CeSc2Bi",
  "functional": "PBE",
  "state": "relaxed",
  "lattice": [[-3.093, 1.489, -2.791], [2.286, -2.064, -3.635], [-2.526, -3.983, 0.673]],
  "species": ["Sc", "Sc", "Bi", "Ce"],
  "frac_coords": [[0.000, 0.000, 0.500], [0.000, 0.500, 0.000], [0.500, 0.000, 0.000], [0.500, 0.500, 0.500]],
  "m_tot_mub_per_cell": 0.0,
  "e_form_ev_per_atom": -0.316,
  "sg": "P4/mmm (123)",
  "e_above_lowest_polymorph_ev_per_atom": 0.0000,
  "total_energy_ev_per_atom": -5.935
}



What did the third record say?
{
  "formula": "CeSc2Bi",
  "functional": "PBE",
  "state": "relaxed",
  "lattice": [[-3.093, 1.489, -2.791], [2.286, -2.064, -3.635], [-2.526, -3.983, 0.673]],
  "species": ["Sc", "Sc", "Bi", "Ce"],
  "frac_coords": [[0.000, 0.000, 0.500], [0.000, 0.500, 0.000], [0.500, 0.000, 0.000], [0.500, 0.500, 0.500]],
  "m_tot_mub_per_cell": 0.0,
  "e_form_ev_per_atom": -0.316,
  "sg": "P4/mmm (123)",
  "e_above_lowest_polymorph_ev_per_atom": 0.0000,
  "total_energy_ev_per_atom": -5.935
}



Repeat the first record exactly.
{
  "formula": "Ce2ScBi",
  "functional": "PBE",
  "state": "relaxed",
  "lattice": [[-0.078, -1.703, 4.008], [1.090, -3.848, -1.614], [10.954, 3.378, -0.654]],
  "species": ["Ce", "Ce", "Ce", "Ce", "Sc", "Sc", "Bi", "Bi"],
  "frac_coords": [[0.592, 0.250, 0.114], [0.408, 0.750, 0.886], [0.009, 0.750, 0.123], [0.991, 0.250, 0.877], [0.693, 0.750, 0.383], [0.307, 0.250, 0.617], [0.181, 0.250, 0.350], [0.819, 0.750, 0.650]],
  "m_tot_mub_per_cell": 0.0,
  "e_form_ev_per_atom": -0.351,
  "sg": "P2_1/m (11)",
  "e_above_lowest_polymorph_ev_per_atom": 0.0274,
  "total_energy_ev_per_atom": -5.871
}